Entry 1:
! Mn2POs, PBEsol geometry, DFT meta-GGA SCAN; values from VASP
&SYSTEM
  ibrav = 0, nat = 4, ntyp = 3
/
ATOMIC_SPECIES
Mn 54.94 Mn.upf
P 30.97 P.upf
Os 190.23 Os.upf
CELL_PARAMETERS angstrom
4.1118 0.0000 0.0000
0.0000 4.1118 0.0000
0.0000 0.0000 2.7567
ATOMIC_POSITIONS crystal
Mn 0.0000 0.5000 0.0000
Mn 0.5000 0.0000 0.0000
P 0.0000 0.0000 0.5000
Os 0.5000 0.5000 0.5000
! Total DFT energy (no corrections) = -29.4444 eV/atom
! Energy of formation from the pure elements = 253 meV/atom
! M_tot = 0.00 μB per cell
! Space group = No. 123


Entry 2:
! MnP2Os, PBEsol geometry, DFT meta-GGA SCAN; values from VASP
&SYSTEM
  ibrav = 0, nat = 4, ntyp = 3
/
ATOMIC_SPECIES
Mn 54.94 Mn.upf
P 30.97 P.upf
Os 190.23 Os.upf
CELL_PARAMETERS angstrom
2.7825 0.0000 0.0000
0.0000 3.5059 0.0000
0.0000 0.0000 4.9527
ATOMIC_POSITIONS crystal
Mn 0.0000 0.0000 0.0000
P 0.0000 0.0000 0.5414
P 0.5000 0.5000 0.8701
Os 0.5000 0.5000 0.3695
! Total DFT energy (no corrections) = -27.9179 eV/atom
! Energy of formation from the pure elements = -185 meV/atom
! M_tot = 2.08 μB per cell
! ΔE to the lowest computed polymorph = 0 meV per atom
! Space group = No. 25


Entry 3:
! Mn2POs, PBEsol geometry, DFT meta-GGA SCAN; values from VASP
&SYSTEM
  ibrav = 0, nat = 4, ntyp = 3
/
ATOMIC_SPECIES
Mn 54.94 Mn.upf
P 30.97 P.upf
Os 190.23 Os.upf
CELL_PARAMETERS angstrom
0.0000 2.8548 2.8548
2.8548 0.0000 2.8548
2.8548 2.8548 0.0000
ATOMIC_POSITIONS crystal
Mn 0.0000 0.0000 0.0000
Mn 0.2500 0.2500 0.2500
P 0.5000 0.5000 0.5000
Os 0.7500 0.7500 0.7500
! Total DFT energy (no corrections) = -29.9104 eV/atom
! Energy of formation from the pure elements = -213 meV/atom
! M_tot = 2.98 μB per cell
! Space group = No. 216


Entry 4:
! MnP2Os, PBEsol geometry, DFT meta-GGA SCAN; values from VASP
&SYSTEM
  ibrav = 0, nat = 4, ntyp = 3
/
ATOMIC_SPECIES
Mn 54.94 Mn.upf
P 30.97 P.upf
Os 190.23 Os.upf
CELL_PARAMETERS angstrom
3.0093 0.0000 0.0000
0.0000 3.7741 0.0000
0.0000 0.0000 4.8286
ATOMIC_POSITIONS crystal
Mn 0.0000 0.0000 0.0000
P 0.5000 0.5000 0.2222
P 0.5000 0.5000 0.7778
Os 0.5000 0.0000 0.5000
! Total DFT energy (no corrections) = -27.8277 eV/atom
! Energy of formation from the pure elements = -95 meV/atom
! M_tot = 3.89 μB per cell
! ΔE to the lowest computed polymorph = 90 meV per atom
! Space group = No. 47